a:
ScCdSN2 | PBE | relaxed

Values from the calculation:
Crystal system: tetragonal
Calculated volume in Å³ per cell: 89.7
SG: P4/mmm (123)
Total moment in μB per formula unit: 2.27

Unit cell a=4.1466 b=4.1466 c=5.2161 alpha=90.00 beta=90.00 gamma=90.00
Atoms (fractional coordinates):
Sc: 0.0000 0.0000 0.0000
Cd: 0.5000 0.5000 0.5000
S: 0.0000 0.0000 0.5000
N: 0.0000 0.5000 0.0000
N: 0.5000 0.0000 0.0000

---

b:
ScCdSN2 | PBE | relaxed

Values from the calculation:
Crystal system: tetragonal
Calculated volume in Å³ per cell: 86.2
SG: P4/mmm (123)
Total moment in μB per formula unit: 1.66

Unit cell a=4.1152 b=4.1152 c=5.0883 alpha=90.00 beta=90.00 gamma=90.00
Atoms (fractional coordinates):
Sc: 0.0000 0.0000 0.0000
Cd: 0.5000 0.5000 0.5000
S: 0.5000 0.5000 0.0000
N: 0.0000 0.5000 0.5000
N: 0.5000 0.0000 0.5000

---

Name the most stable of them. a.